Entry 1:
Material: Ce2NdSmHg4
Method: DFT, GGA-PBE
State: relaxed

Unit cell a=9.3791 b=9.3791 c=9.3791 alpha=33.51 beta=33.51 gamma=33.51
With the nearest neighbours (Å) after each atom.
Sites, in units of the cell vectors:
Ce  0.2502  0.2502  0.2502  8 Hg 3.30-3.34
Ce  0.7498  0.7498  0.7498  8 Hg 3.30-3.34
Nd  0.0000  0.0000  0.0000  8 Hg 3.32-3.34
Sm  0.5000  0.5000  0.5000  8 Hg 3.29-3.30
Hg  0.1258  0.1258  0.1258  4 Ce 3.30-3.32, 3 Sm 3.30, 1 Nd 3.34
Hg  0.3759  0.3759  0.3759  1 Sm 3.29, 4 Ce 3.30-3.34, 3 Nd 3.32
Hg  0.6241  0.6241  0.6241  1 Sm 3.29, 4 Ce 3.30-3.34, 3 Nd 3.32
Hg  0.8742  0.8742  0.8742  4 Ce 3.30-3.32, 3 Sm 3.30, 1 Nd 3.34

Calculated values
As for the symmetry: R-3m (166). The calculation puts the energy relative to the elements at -0.375 eV/atom.

Entry 2:
Material: K3La3NpSe8
Method: DFT, GGA-PBE
State: relaxed

Unit cell a=9.2632 b=9.2632 c=9.2632 alpha=56.63 beta=56.63 gamma=56.63
With the nearest neighbours (Å) after each atom.
Sites, in units of the cell vectors:
K  0.0000  0.5000  0.5000  6 Se 3.38-3.39
K  0.5000  0.0000  0.5000  6 Se 3.38-3.39
K  0.5000  0.5000  0.0000  6 Se 3.38-3.39
La  0.0000  0.0000  0.5000  6 Se 3.02-3.03
La  0.0000  0.5000  0.0000  6 Se 3.02-3.03
La  0.5000  0.0000  0.0000  6 Se 3.02-3.03
Np  0.5000  0.5000  0.5000  6 Se 2.86
Se  0.2372  0.2372  0.2372  3 La 3.02, 3 K 3.38
Se  0.2506  0.7248  0.7248  1 Np 2.86, 2 La 3.03
Se  0.2752  0.2752  0.7494  1 Np 2.86, 2 La 3.03
Se  0.2752  0.7494  0.2752  1 Np 2.86, 2 La 3.03
Se  0.7248  0.2506  0.7248  1 Np 2.86, 2 La 3.03
Se  0.7248  0.7248  0.2506  1 Np 2.86, 2 La 3.03
Se  0.7494  0.2752  0.2752  1 Np 2.86, 2 La 3.03
Se  0.7628  0.7628  0.7628  3 La 3.02, 3 K 3.38

Calculated values
As for the symmetry: R-3m (166). Its raw formation energy is -161.4 kJ/mol of atoms.

Entry 3:
Material: KFeP
Method: DFT, GGA-PBE
State: relaxed

Unit cell a=3.6454 b=3.6458 c=11.3768 alpha=80.82 beta=81.05 gamma=90.00
With the nearest neighbours (Å) after each atom.
Sites, in units of the cell vectors:
K  0.1421  0.1458  0.2070  4 P 3.15
K  0.8579  0.8542  0.7930  4 P 3.15
Fe  0.0000  0.5000  0.5000  4 P 2.32, 4 Fe 2.58
Fe  0.5000  0.0000  0.5000  4 P 2.32, 4 Fe 2.58
P  0.4373  0.4357  0.6291  4 Fe 2.32
P  0.5627  0.5643  0.3709  4 Fe 2.32

Calculated values
As for the symmetry: P-1 (2). The calculation puts the energy relative to the elements at -0.244 eV/atom.

Entry 4:
Material: Si2HgBr
Method: DFT, GGA-PBE
State: relaxed

Unit cell a=3.9536 b=4.6475 c=5.4555 alpha=90.00 beta=90.14 gamma=90.00
With the nearest neighbours (Å) after each atom.
Sites, in units of the cell vectors:
Si  0.2335  0.0000  0.3587  2 Si 2.41-2.61, 2 Hg 2.66
Si  0.7665  0.0000  0.6413  2 Si 2.41-2.61, 2 Hg 2.66
Hg  0.5000  0.5000  0.5000  4 Si 2.66
Br  0.0000  0.5000  0.0000  4 Si 3.17, 4 Hg 3.36-3.37

Calculated values
As for the symmetry: P2/m (10). As for the relative energy among the computed polymorphs: 230 meV/atom. Its raw formation energy is 36.4 kJ/mol of atoms.

Entry 5:
Material: Be2NiBr
Method: DFT, GGA-PBE
State: relaxed

Unit cell a=6.3794 b=3.6434 c=5.9735 alpha=90.00 beta=111.21 gamma=90.00
With the nearest neighbours (Å) after each atom.
Sites, in units of the cell vectors:
Be  0.1313  0.0000  0.3909  1 Br 2.18, 3 Ni 2.20, 2 Be 2.43
Be  0.3687  0.5000  0.6091  1 Br 2.18, 3 Ni 2.20, 2 Be 2.43
Be  0.6313  0.5000  0.3909  1 Br 2.18, 3 Ni 2.20, 2 Be 2.43
Be  0.8687  0.0000  0.6091  1 Br 2.18, 3 Ni 2.20, 2 Be 2.43
Ni  0.0000  0.5000  0.5000  6 Be 2.20
Ni  0.5000  0.0000  0.5000  6 Be 2.20
Br  0.0000  0.0000  0.0000  2 Be 2.18
Br  0.5000  0.5000  0.0000  2 Be 2.18

Calculated values
As for the symmetry: C2/m (12). As for the relative energy among the computed polymorphs: 95 meV/atom. Its raw formation energy is 15.4 kJ/mol of atoms.

Entry 6:
Material: Ta3MnH
Method: DFT, GGA-PBE
State: relaxed

Unit cell a=4.5870 b=4.5870 c=4.5870 alpha=90.00 beta=90.00 gamma=90.00
With the nearest neighbours (Å) after each atom.
Sites, in units of the cell vectors:
Ta  0.0000  0.0000  0.5000  2 Mn 2.29
Ta  0.0000  0.5000  0.0000  2 Mn 2.29
Ta  0.5000  0.0000  0.0000  2 Mn 2.29
Mn  0.0000  0.0000  0.0000  6 Ta 2.29
H  0.5000  0.5000  0.5000  12 Ta 3.24

Calculated values
As for the symmetry: Pm-3m (221). As for the relative energy among the computed polymorphs: 1290 meV/atom.

Entry 7:
Material: SiNiPt
Method: DFT, GGA-PBE
State: relaxed

Unit cell a=7.9551 b=3.6913 c=6.3383 alpha=90.00 beta=115.69 gamma=90.00
With the nearest neighbours (Å) after each atom.
Sites, in units of the cell vectors:
Si  0.0000  0.0000  0.0000  4 Ni 2.36-2.45, 3 Pt 2.38-2.39
Si  0.1844  0.5000  0.6042  3 Ni 2.32-2.36, 4 Pt 2.41-2.45
Si  0.5000  0.5000  0.0000  4 Ni 2.36-2.45, 3 Pt 2.38-2.39
Si  0.6844  0.0000  0.6042  3 Ni 2.32-2.36, 4 Pt 2.41-2.45
Ni  0.1815  0.5000  0.9686  4 Si 2.32-2.45
Ni  0.2200  0.0000  0.3959  3 Si 2.36, 1 Pt 2.59
Ni  0.6815  0.0000  0.9686  4 Si 2.32-2.45
Ni  0.7200  0.5000  0.3959  3 Si 2.36, 1 Pt 2.59
Pt  0.4451  0.0000  0.1989  3 Si 2.38-2.45, 1 Ni 2.59
Pt  0.4919  0.5000  0.6191  4 Si 2.39-2.43
Pt  0.9451  0.5000  0.1989  3 Si 2.38-2.45, 1 Ni 2.59
Pt  0.9919  0.0000  0.6191  4 Si 2.39-2.43

Calculated values
As for the symmetry: Cm (8). Its raw formation energy is -53.0 kJ/mol of atoms.

Entry 8:
Material: CaCdHg3
Method: DFT, GGA-PBE
State: relaxed

Unit cell a=5.4504 b=5.4504 c=5.4504 alpha=90.00 beta=90.00 gamma=90.00
With the nearest neighbours (Å) after each atom.
Sites, in units of the cell vectors:
Ca  0.0000  0.0000  0.0000  12 Hg 3.85
Cd  0.5000  0.5000  0.5000  6 Hg 2.73
Hg  0.0000  0.5000  0.5000  2 Cd 2.73
Hg  0.5000  0.0000  0.5000  2 Cd 2.73
Hg  0.5000  0.5000  0.0000  2 Cd 2.73

Calculated values
As for the symmetry: Pm-3m (221). As for the relative energy among the computed polymorphs: 304 meV/atom. The calculation puts the energy relative to the elements at 0.037 eV/atom.

Entry 9:
Material: Ce2YTh3Se6
Method: DFT, GGA-PBE
State: relaxed

Unit cell a=7.1851 b=7.1851 c=7.3235 alpha=99.40 beta=99.40 gamma=119.94
With the nearest neighbours (Å) after each atom.
Sites, in units of the cell vectors:
Ce  0.1663  0.8337  0.0000  6 Se 2.94-2.95
Ce  0.8337  0.1663  0.0000  6 Se 2.94-2.95
Y  0.5000  0.5000  0.0000  6 Se 2.89-2.90
Th  0.0000  0.0000  0.5000  6 Se 2.97-3.01
Th  0.3307  0.6693  0.5000  6 Se 2.97-3.00
Th  0.6693  0.3307  0.5000  6 Se 2.97-3.00
Se  0.0923  0.4198  0.7586  1 Y 2.89, 2 Ce 2.94, 3 Th 2.97-3.00
Se  0.2546  0.2546  0.2454  1 Y 2.90, 2 Ce 2.95, 3 Th 2.98-3.01
Se  0.4198  0.0923  0.7586  1 Y 2.89, 2 Ce 2.94, 3 Th 2.97-3.00
Se  0.5802  0.9077  0.2414  1 Y 2.89, 2 Ce 2.94, 3 Th 2.97-3.00
Se  0.7454  0.7454  0.7546  1 Y 2.90, 2 Ce 2.95, 3 Th 2.98-3.01
Se  0.9077  0.5802  0.2414  1 Y 2.89, 2 Ce 2.94, 3 Th 2.97-3.00

Calculated values
As for the symmetry: C2/m (12). Its raw formation energy is -161.4 kJ/mol of atoms.

Entry 10:
Material: La2ZnTcN
Method: DFT, GGA-PBE
State: relaxed

Unit cell a=5.2580 b=5.2580 c=3.9058 alpha=90.00 beta=90.00 gamma=90.00
With the nearest neighbours (Å) after each atom.
Sites, in units of the cell vectors:
La  0.0000  0.5000  0.0000  2 N 2.63
La  0.5000  0.0000  0.0000  2 N 2.63
Zn  0.0000  0.0000  0.5000  8 La 3.27
Tc  0.5000  0.5000  0.5000  2 N 1.95
N  0.5000  0.5000  0.0000  2 Tc 1.95

Calculated values
As for the symmetry: P4/mmm (123). Its raw formation energy is -57.7 kJ/mol of atoms.

Entry 11:
Material: Pu2H2SeBr
Method: DFT, GGA-PBE
State: relaxed

Unit cell a=3.9221 b=3.9221 c=8.2335 alpha=90.00 beta=90.00 gamma=120.00
With the nearest neighbours (Å) after each atom.
Sites, in units of the cell vectors:
Pu  0.3333  0.6667  0.2728  3 H 2.27
Pu  0.6667  0.3333  0.7272  3 H 2.27
H  0.3333  0.6667  0.7493  3 Pu 2.27
H  0.6667  0.3333  0.2507  3 Pu 2.27
Se  0.0000  0.0000  0.5000  6 Pu 2.94, 6 H 3.06
Br  0.0000  0.0000  0.0000  6 H 3.06, 6 Pu 3.19

Calculated values
As for the symmetry: P-3m1 (164).

Entry 12:
Material: HfTlB2N
Method: DFT, GGA-PBE
State: relaxed

Unit cell a=4.4659 b=4.4659 c=5.9286 alpha=90.00 beta=90.00 gamma=90.00
With the nearest neighbours (Å) after each atom.
Sites, in units of the cell vectors:
Hf  0.0000  0.0000  0.0000  4 B 2.23
Tl  0.0000  0.0000  0.5000  2 Hf 2.96, 4 N 3.16
B  0.0000  0.5000  0.0000  2 Hf 2.23
B  0.5000  0.0000  0.0000  2 Hf 2.23
N  0.5000  0.5000  0.5000  4 Tl 3.16

Calculated values
As for the symmetry: P4/mmm (123). Its raw formation energy is 225.9 kJ/mol of atoms.

no.,energy (eV/atom),spin magnetization (μB per cell)
1,-3.195,3.76
2,-5.599,3.00
3,-5.234,3.23
4,-2.828,0.00
5,-3.567,0.00
6,-8.101,0.00
7,-6.297,0.00
8,-0.727,0.00
9,-6.797,1.33
10,-6.562,0.00
11,-7.767,11.00
12,-4.459,2.26